## Pa2HPd9 (GGA-PBE)

Data for a relaxed structure of Pa2HPd9.

Results
N(E_F)   4.07 states/eV/cell
Crystal system   tetragonal
E_tot   -6.22 eV per atom

abc: 4.167 4.167 11.406
angles: 90.00 90.00 90.00
Sites, in units of the cell vectors:
Pa1 0.000 0.000 0.189
Pa2 0.000 0.000 0.811
H1 0.000 0.000 0.500
Pd1 0.000 0.500 0.000
Pd2 0.000 0.500 0.350
Pd3 0.000 0.500 0.650
Pd4 0.500 0.000 0.000
Pd5 0.500 0.000 0.350
Pd6 0.500 0.000 0.650
Pd7 0.500 0.500 0.175
Pd8 0.500 0.500 0.500
Pd9 0.500 0.500 0.825

***

## Pa2HPd (GGA-PBE)

Data for a relaxed structure of Pa2HPd.

Results
N(E_F)   6.25 states/eV/cell
Crystal system   tetragonal
Relative energy among the computed polymorphs   0.049 eV per atom
E_tot   -6.96 eV per atom

abc: 3.217 3.217 6.735
angles: 90.00 90.00 90.00
Sites, in units of the cell vectors:
Pa1 0.000 0.000 0.201
Pa2 0.000 0.000 0.799
H1 0.500 0.500 0.000
Pd1 0.500 0.500 0.500

***

## PaH8PdRh4 (GGA-PBE)

Data for a relaxed structure of PaH8PdRh4.

Results
N(E_F)   6.09 states/eV/cell
Crystal system   trigonal
E_tot   -5.20 eV per atom

abc: 5.633 5.633 5.633
angles: 60.55 60.55 60.55
Sites, in units of the cell vectors:
Pa1 0.000 0.000 0.000
H1 0.306 0.306 0.886
H2 0.306 0.886 0.306
H3 0.381 0.381 0.381
H4 0.474 0.835 0.835
H5 0.835 0.474 0.835
H6 0.835 0.835 0.474
H7 0.839 0.839 0.839
H8 0.886 0.306 0.306
Pd1 0.613 0.613 0.613
Rh1 0.122 0.619 0.619
Rh2 0.248 0.248 0.248
Rh3 0.619 0.122 0.619
Rh4 0.619 0.619 0.122

***

## PaH8PdRh2 (GGA-PBE)

Data for a relaxed structure of PaH8PdRh2.

Results
N(E_F)   4.08 states/eV/cell
Crystal system   monoclinic
E_tot   -4.80 eV per atom

abc: 4.895 4.895 5.945
angles: 109.04 109.04 49.56
Sites, in units of the cell vectors:
Pa1 0.000 0.000 0.000
H1 0.131 0.635 0.257
H2 0.197 0.197 0.377
H3 0.365 0.869 0.743
H4 0.368 0.368 0.979
H5 0.632 0.632 0.021
H6 0.635 0.131 0.257
H7 0.803 0.803 0.623
H8 0.869 0.365 0.743
Pd1 0.500 0.500 0.500
Rh1 0.254 0.254 0.686
Rh2 0.746 0.746 0.314

***

## Pa4H3PdRh12 (GGA-PBE)

Data for a relaxed structure of Pa4H3PdRh12.

Results
N(E_F)   23.58 states/eV/cell
Crystal system   cubic
E_tot   -7.61 eV per atom

abc: 7.311 7.311 7.311
angles: 109.47 109.47 109.47
Sites, in units of the cell vectors:
Pa1 0.000 0.000 0.500
Pa2 0.000 0.500 0.000
Pa3 0.500 0.000 0.000
Pa4 0.500 0.500 0.500
H1 0.000 0.500 0.500
H2 0.500 0.000 0.500
H3 0.500 0.500 0.000
Pd1 0.000 0.000 0.000
Rh1 0.000 0.292 0.292
Rh2 0.000 0.708 0.708
Rh3 0.250 0.500 0.750
Rh4 0.250 0.750 0.500
Rh5 0.292 0.000 0.292
Rh6 0.292 0.292 0.000
Rh7 0.500 0.250 0.750
Rh8 0.500 0.750 0.250
Rh9 0.708 0.000 0.708
Rh10 0.708 0.708 0.000
Rh11 0.750 0.250 0.500
Rh12 0.750 0.500 0.250

***

## PaHPdRu2 (GGA-PBE)

Data for a relaxed structure of PaHPdRu2.

Results
N(E_F)   3.18 states/eV/cell
Crystal system   tetragonal
E_tot   -7.76 eV per atom

abc: 4.187 4.187 3.963
angles: 90.00 90.00 90.00
Sites, in units of the cell vectors:
Pa1 0.000 0.000 0.000
H1 0.500 0.500 0.500
Pd1 0.500 0.500 0.000
Ru1 0.000 0.500 0.500
Ru2 0.500 0.000 0.500

***

## PaH7Pd2Ru2 (GGA-PBE)

Data for a relaxed structure of PaH7Pd2Ru2.

Results
N(E_F)   4.00 states/eV/cell
Crystal system   orthorhombic
E_tot   -5.30 eV per atom

abc: 7.811 7.811 7.811
angles: 152.72 41.43 149.43
Sites, in units of the cell vectors:
Pa1 0.000 0.000 0.000
H1 0.092 0.480 0.612
H2 0.197 0.923 0.274
H3 0.375 0.468 0.908
H4 0.560 0.468 0.092
H5 0.649 0.923 0.726
H6 0.671 0.171 0.500
H7 0.868 0.480 0.388
Pd1 0.174 0.437 0.737
Pd2 0.700 0.437 0.263
Ru1 0.333 0.932 0.401
Ru2 0.531 0.932 0.599

***

## PaSiHPd (GGA-PBE)

Data for a relaxed structure of PaSiHPd.

Results
N(E_F)   1.84 states/eV/cell
Crystal system   hexagonal
E_tot   -6.51 eV per atom

abc: 4.215 4.215 3.921
angles: 90.00 90.00 120.00
Sites, in units of the cell vectors:
Pa1 0.000 0.000 0.000
Si1 0.333 0.667 0.500
H1 0.667 0.333 0.000
Pd1 0.667 0.333 0.500

***

## Pm2PaH8 (GGA-PBE)

Data for a relaxed structure of Pm2PaH8.

Results
N(E_F)   6.90 states/eV/cell
Crystal system   orthorhombic
E_tot   -4.65 eV per atom

abc: 6.425 6.425 6.425
angles: 147.47 126.73 63.82
Sites, in units of the cell vectors:
Pm1 0.167 0.167 0.000
Pm2 0.833 0.833 0.000
Pa1 0.500 0.500 0.000
H1 0.088 0.341 0.748
H2 0.243 0.000 0.243
H3 0.352 0.852 0.500
H4 0.407 0.659 0.748
H5 0.593 0.341 0.252
H6 0.648 0.148 0.500
H7 0.757 0.000 0.757
H8 0.912 0.659 0.252

***

## PmPaH3 (GGA-PBE)

Data for a relaxed structure of PmPaH3.

Results
N(E_F)   4.00 states/eV/cell
Crystal system   cubic
E_tot   -4.97 eV per atom

abc: 4.174 4.174 4.174
angles: 90.00 90.00 90.00
Sites, in units of the cell vectors:
Pm1 0.000 0.000 0.000
Pa1 0.500 0.500 0.500
H1 0.000 0.500 0.500
H2 0.500 0.000 0.500
H3 0.500 0.500 0.000

***

## Pm3PaH (GGA-PBE)

Data for a relaxed structure of Pm3PaH.

Results
N(E_F)   6.97 states/eV/cell
Crystal system   cubic
E_tot   -5.38 eV per atom

abc: 5.003 5.003 5.003
angles: 90.00 90.00 90.00
Sites, in units of the cell vectors:
Pm1 0.000 0.000 0.500
Pm2 0.000 0.500 0.000
Pm3 0.500 0.000 0.000
Pa1 0.500 0.500 0.500
H1 0.000 0.000 0.000

***

## PmPa2H8 (GGA-PBE)

Data for a relaxed structure of PmPa2H8.

Results
N(E_F)   8.92 states/eV/cell
Crystal system   orthorhombic
E_tot   -4.96 eV per atom

abc: 6.391 6.391 6.391
angles: 148.03 125.80 64.33
Sites, in units of the cell vectors:
Pm1 0.000 0.000 0.000
Pa1 0.325 0.325 0.000
Pa2 0.675 0.675 0.000
H1 0.092 0.835 0.256
H2 0.172 0.672 0.500
H3 0.276 0.500 0.776
H4 0.421 0.165 0.256
H5 0.579 0.835 0.744
H6 0.724 0.500 0.224
H7 0.828 0.328 0.500
H8 0.908 0.165 0.744

***

## PmPa2H (GGA-PBE)

Data for a relaxed structure of PmPa2H.

Results
N(E_F)   7.41 states/eV/cell
Crystal system   trigonal
E_tot   -6.60 eV per atom

abc: 9.796 9.796 9.796
angles: 18.84 18.84 18.84
Sites, in units of the cell vectors:
Pm1 0.000 0.000 0.000
Pa1 0.113 0.113 0.113
Pa2 0.887 0.887 0.887
H1 0.500 0.500 0.500

***

## Pm2PaH12Rh3 (GGA-PBE)

Data for a relaxed structure of Pm2PaH12Rh3.

Results
N(E_F)   7.52 states/eV/cell
Crystal system   trigonal
E_tot   -4.80 eV per atom

abc: 6.159 6.159 6.159
angles: 64.22 64.22 64.22
Sites, in units of the cell vectors:
Pm1 0.115 0.115 0.115
Pm2 0.885 0.885 0.885
Pa1 0.500 0.500 0.500
H1 0.077 0.640 0.640
H2 0.221 0.221 0.633
H3 0.221 0.633 0.221
H4 0.360 0.360 0.923
H5 0.360 0.923 0.360
H6 0.367 0.779 0.779
H7 0.633 0.221 0.221
H8 0.640 0.077 0.640
H9 0.640 0.640 0.077
H10 0.779 0.367 0.779
H11 0.779 0.779 0.367
H12 0.923 0.360 0.360
Rh1 0.000 0.500 0.500
Rh2 0.500 0.000 0.500
Rh3 0.500 0.500 0.000

***

## PrPa2H (GGA-PBE)

Data for a relaxed structure of PrPa2H.

Results
N(E_F)   7.19 states/eV/cell
Crystal system   trigonal
E_tot   -6.61 eV per atom

abc: 9.863 9.863 9.863
angles: 18.79 18.79 18.79
Sites, in units of the cell vectors:
Pr1 0.000 0.000 0.000
Pa1 0.113 0.113 0.113
Pa2 0.887 0.887 0.887
H1 0.500 0.500 0.500

***

## Pr2PaH4 (GGA-PBE)

Data for a relaxed structure of Pr2PaH4.

Results
N(E_F)   6.53 states/eV/cell
Crystal system   tetragonal
E_tot   -4.78 eV per atom

abc: 7.146 7.146 7.146
angles: 146.39 146.39 48.26
Sites, in units of the cell vectors:
Pr1 0.152 0.152 0.000
Pr2 0.848 0.848 0.000
Pa1 0.500 0.500 0.000
H1 0.000 0.500 0.500
H2 0.330 0.330 0.000
H3 0.500 0.000 0.500
H4 0.670 0.670 0.000

***

## Pa4HPt2 (GGA-PBE)

Data for a relaxed structure of Pa4HPt2.

Results
N(E_F)   12.44 states/eV/cell
Crystal system   tetragonal
E_tot   -8.03 eV per atom

abc: 8.405 8.405 8.405
angles: 150.30 150.30 42.50
Sites, in units of the cell vectors:
Pa1 0.000 0.500 0.500
Pa2 0.173 0.173 0.000
Pa3 0.500 0.000 0.500
Pa4 0.827 0.827 0.000
H1 0.000 0.000 0.000
Pt1 0.345 0.345 0.000
Pt2 0.655 0.655 0.000

***

## PaHPt (GGA-PBE)

Data for a relaxed structure of PaHPt.

Results
N(E_F)   3.36 states/eV/cell
Crystal system   orthorhombic
Relative energy among the computed polymorphs   0.000 eV per atom
E_tot   -7.07 eV per atom

abc: 6.299 6.299 4.134
angles: 90.00 90.00 145.44
Sites, in units of the cell vectors:
Pa1 0.146 0.854 0.750
Pa2 0.854 0.146 0.250
H1 0.244 0.756 0.250
H2 0.756 0.244 0.750
Pt1 0.422 0.578 0.750
Pt2 0.578 0.422 0.250

***

## PaHPt (GGA-PBE)

Data for a relaxed structure of PaHPt.

Results
N(E_F)   2.46 states/eV/cell
Crystal system   hexagonal
Relative energy among the computed polymorphs   0.187 eV per atom
E_tot   -6.88 eV per atom

abc: 3.848 3.848 3.861
angles: 90.00 90.00 120.00
Sites, in units of the cell vectors:
Pa1 0.000 0.000 0.000
H1 0.333 0.667 0.000
Pt1 0.667 0.333 0.500

***

## PaH6Pt2 (GGA-PBE)

Data for a relaxed structure of PaH6Pt2.

Results
N(E_F)   8.64 states/eV/cell
Crystal system   monoclinic
E_tot   -4.90 eV per atom

abc: 6.008 6.008 5.531
angles: 100.41 100.41 103.49
Sites, in units of the cell vectors:
Pa1 0.154 0.846 0.750
Pa2 0.846 0.154 0.250
H1 0.118 0.545 0.379
H2 0.196 0.219 0.035
H3 0.219 0.196 0.535
H4 0.301 0.544 0.867
H5 0.455 0.882 0.121
H6 0.456 0.699 0.633
H7 0.544 0.301 0.367
H8 0.545 0.118 0.879
H9 0.699 0.456 0.133
H10 0.781 0.804 0.465
H11 0.804 0.781 0.965
H12 0.882 0.455 0.621
Pt1 0.051 0.330 0.809
Pt2 0.330 0.051 0.309
Pt3 0.670 0.949 0.691
Pt4 0.949 0.670 0.191